Density functional theory data (GGA-PBE) for crystalline LaIn2Ag at its relaxed geometry.

a b c (Å): 3.6991 4.8933 6.0146
angles (deg): 90.00 99.61 90.00
Sites, in units of the cell vectors:
La: 0.0000 0.0000 0.0000
In: 0.3770 0.5000 0.7304
In: 0.6230 0.5000 0.2696
Ag: 0.5000 0.0000 0.5000

Total DFT energy (no corrections): -3.59 eV per atom
DOS(E_F): 2.46 states/eV/f.u.
Symmetry: P2/m (10)